# TbErAs2

Crystalline TbErAs2 at its relaxed geometry (PBE, Alexandria).

abc: 4.071 4.071 7.379
angles: 73.99 73.99 60.00
Atoms (fractional coordinates):
Tb  0.498  0.498  0.507
Er  0.669  0.669  0.993
As  0.081  0.081  0.757
As  0.252  0.252  0.243

For the total magnetic moment, the calculation gives 0.00 μB per cell. As for the space group: No. 160. The energy above the most stable polymorph in this dataset is 0.149 eV per atom. Its calculated volume is 100 Å³/f.u.